Pa2BeSi2: relaxed, PBE.

Properties
Final energy (eV per cell): -71.71
Total magnetization (μB per formula unit): 0.00
V (Å³/cell): 189.7
E_form (uncorrected) (meV per atom): -458

Cell: 3.867 5.548 9.801 Å, 96.13 78.62 69.61°
Atoms (fractional coordinates):
Si (0.482, 0.176, 0.859)
Pa (0.170, 0.750, 0.909)
Si (0.362, 0.680, 0.596)
Si (0.638, 0.320, 0.404)
Be (0.258, 0.167, 0.318)
Pa (0.054, 0.254, 0.639)
Pa (0.946, 0.746, 0.361)
Pa (0.830, 0.250, 0.091)
Si (0.518, 0.824, 0.141)
Be (0.742, 0.833, 0.682)